No. 1
VASP calculation (PBE-GGA) on PmPrEr5Th2 after structural relaxation.

Results
**DFT total energy**: -4.92 eV per atom
**DFT formation energy**: 2.90 eV/f.u.

Lattice parameters (Å, degrees): 8.896 8.896 15.122 90.00 90.00 90.00
Space group I4/mcm (No. 140)
Unique sites:
Pm  0.000  0.500  0.250
Pr  0.000  0.000  0.250
Er  0.000  0.000  0.000
Er  0.206  0.294  0.136
Th  0.118  0.382  0.500


No. 2
VASP calculation (PBE-GGA) on PmPr5Er2Th after structural relaxation.

Results
**DFT total energy**: -4.86 eV per atom
**DFT formation energy**: 1.44 eV/f.u.

Lattice parameters (Å, degrees): 5.722 20.662 10.668 90.00 90.00 90.00
Space group Cmc2_1 (No. 36)
Unique sites:
Pm  0.000  0.092  0.000
Pr  0.000  0.020  0.291
Pr  0.000  0.115  0.573
Pr  0.000  0.208  0.250
Pr  0.000  0.223  0.860
Pr  0.000  0.486  0.567
Er  0.000  0.384  0.860
Er  0.000  0.387  0.286
Th  0.000  0.301  0.559


No. 3
VASP calculation (PBE-GGA) on Pm3PrEr6Th2 after structural relaxation.

Results
**DFT total energy**: -5.08 eV per atom
**DFT formation energy**: 0.32 eV/f.u.

Lattice parameters (Å, degrees): 6.215 10.760 11.704 90.00 100.22 90.00
Space group C2/m (No. 12)
Unique sites:
Pm  0.000  0.000  0.000
Pm  0.000  0.334  0.000
Pr  0.000  0.500  0.500
Er  0.244  0.000  0.747
Er  0.248  0.169  0.253
Th  0.000  0.167  0.500


No. 4
VASP calculation (PBE-GGA) on Pm2PrEr4Th after structural relaxation.

Results
**DFT total energy**: -4.97 eV per atom
**DFT formation energy**: 0.22 eV/f.u.

Lattice parameters (Å, degrees): 5.097 5.113 9.935 90.00 90.00 90.00
Space group Pmmm (No. 47)
Unique sites:
Pm  0.000  0.000  0.000
Pm  0.500  0.500  0.500
Pr  0.000  0.000  0.500
Er  0.000  0.500  0.245
Er  0.500  0.000  0.245
Th  0.500  0.500  0.000


No. 5
VASP calculation (PBE-GGA) on PmPr2Er5Th after structural relaxation.

Results
**DFT total energy**: -4.66 eV per atom
**DFT formation energy**: 2.57 eV/f.u.

Lattice parameters (Å, degrees): 8.697 8.697 15.482 90.00 90.00 90.00
Space group I4/mcm (No. 140)
Unique sites:
Pm  0.000  0.500  0.250
Pr  0.117  0.383  0.000
Er  0.000  0.000  0.000
Er  0.213  0.287  0.360
Th  0.000  0.000  0.250


No. 6
VASP calculation (PBE-GGA) on PmPr3Er6Th2 after structural relaxation.

Results
**DFT total energy**: -5.09 eV per atom
**DFT formation energy**: 0.28 eV/f.u.

Lattice parameters (Å, degrees): 6.228 10.783 11.744 90.00 100.22 90.00
Space group C2/m (No. 12)
Unique sites:
Pm  0.000  0.000  0.000
Pr  0.000  0.166  0.500
Pr  0.000  0.500  0.500
Er  0.244  0.500  0.245
Er  0.249  0.331  0.755
Th  0.000  0.333  0.000


No. 7
VASP calculation (PBE-GGA) on Pm2Pr6Er3Tl after structural relaxation.

Results
**DFT total energy**: -4.54 eV per atom
**DFT formation energy**: -0.25 eV/f.u.

Lattice parameters (Å, degrees): 6.241 10.842 11.944 90.00 100.14 90.00
Space group C2/m (No. 12)
Unique sites:
Pm  0.000  0.166  0.000
Pr  0.243  0.500  0.747
Pr  0.247  0.337  0.252
Er  0.000  0.000  0.500
Er  0.000  0.333  0.500
Tl  0.000  0.500  0.000


No. 8
VASP calculation (PBE-GGA) on PmPr2ErTl2 after structural relaxation.

Results
**DFT total energy**: -4.20 eV per atom
**DFT formation energy**: -1.62 eV/f.u.

Lattice parameters (Å, degrees): 5.192 10.260 6.995 90.00 90.00 90.00
Space group Pmc2_1 (No. 26)
Unique sites:
Pm  0.000  0.045  0.000
Pr  0.000  0.317  0.373
Pr  0.500  0.452  0.099
Er  0.500  0.187  0.715
Tl  0.000  0.355  0.837
Tl  0.500  0.123  0.262